Material: NdTcB2O8
Method: DFT, GGA-PBE
State: optimized geometry

Results
M_tot	0.1	μB/cell
E_form (uncorrected)	-23.7	eV per formula unit
space group	No. 164
total DFT energy (no corrections)	-7.6578	eV per atom

Cell: 4.9311 4.9311 6.5741 Å, 90.00 90.00 120.00°
Closest atoms and distances in Å follow each position.
Fractional positions:
Nd  0.0000  0.0000  0.5000  12 O 2.58-2.85
Tc  0.0000  0.0000  0.0000  6 O 1.88
B  0.6667  0.3333  0.2629  4 O 1.41-1.48
B  0.3333  0.6667  0.7371  4 O 1.41-1.48
O  0.8272  0.1728  0.1781  1 B 1.48
O  0.8272  0.6545  0.1781  1 B 1.48
O  0.3455  0.1728  0.1781  1 B 1.48
O  0.6545  0.8272  0.8219  1 B 1.48
O  0.3333  0.6667  0.5232  1 B 1.41
O  0.6667  0.3333  0.4768  1 B 1.41
O  0.1728  0.8272  0.8219  1 B 1.48
O  0.1728  0.3455  0.8219  1 B 1.48

=====

Material: NdB2TeO8
Method: DFT, GGA-PBE
State: optimized geometry

Results
M_tot	1.0	μB/cell
E_form (uncorrected)	-22.2	eV per formula unit
space group	No. 164
total DFT energy (no corrections)	-6.9284	eV per atom

Cell: 4.9442 4.9442 6.7633 Å, 90.00 90.00 120.00°
Closest atoms and distances in Å follow each position.
Fractional positions:
Nd  0.0000  0.0000  0.5000  6 O 2.54
B  0.3333  0.6667  0.7511  4 O 1.45-1.47
B  0.6667  0.3333  0.2489  4 O 1.45-1.47
Te  0.0000  0.0000  0.0000  6 O 1.93
O  0.1679  0.3359  0.8093  1 B 1.47
O  0.1679  0.8321  0.8093  1 B 1.47
O  0.6641  0.8321  0.8093  1 B 1.47
O  0.3359  0.1679  0.1907  1 B 1.47
O  0.6667  0.3333  0.4634  1 B 1.45
O  0.3333  0.6667  0.5366  1 B 1.45
O  0.8321  0.6641  0.1907  1 B 1.47
O  0.8321  0.1679  0.1907  1 B 1.47

=====

Material: NdTiBO5
Method: DFT, GGA-PBE
State: optimized geometry

Results
M_tot	0.0	μB/cell
E_form (uncorrected)	-23.6	eV per formula unit
space group	No. 15
total DFT energy (no corrections)	-8.4694	eV per atom

Cell: 5.3655 5.3655 6.9031 Å, 102.91 102.91 106.79°
Closest atoms and distances in Å follow each position.
Fractional positions:
Nd  0.3416  0.6584  0.2500  5 O 2.30-2.45
Nd  0.6584  0.3416  0.7500  5 O 2.30-2.45
Ti  0.0000  0.0000  0.5000  6 O 1.84-2.05
Ti  0.0000  0.0000  0.0000  6 O 1.84-2.05
B  0.6838  0.3162  0.2500  4 O 1.51-1.53
B  0.3162  0.6838  0.7500  4 O 1.51-1.53
O  0.0747  0.9253  0.2500  2 Ti 1.84
O  0.9253  0.0747  0.7500  2 Ti 1.84
O  0.8795  0.3140  0.1235  1 B 1.51
O  0.1205  0.6860  0.8765  1 B 1.51
O  0.6860  0.1205  0.3765  1 B 1.51
O  0.3140  0.8795  0.6235  1 B 1.51
O  0.7518  0.5974  0.4048  1 B 1.53
O  0.2482  0.4026  0.5952  1 B 1.53
O  0.4026  0.2482  0.0952  1 B 1.53
O  0.5974  0.7518  0.9048  1 B 1.53

=====

Material: NdTl3B4O12
Method: DFT, GGA-PBE
State: optimized geometry

Results
M_tot	0.0	μB/cell
E_form (uncorrected)	-37.9	eV per formula unit
space group	No. 155
total DFT energy (no corrections)	-6.8007	eV per atom

Cell: 6.5268 6.5268 6.5268 Å, 102.72 102.72 102.72°
Closest atoms and distances in Å follow each position.
Fractional positions:
Nd  0.0000  0.0000  0.0000  6 O 2.45
Tl  0.5323  0.4677  0.0000  6 O 2.25-2.31
Tl  0.4677  0.0000  0.5323  6 O 2.25-2.31
Tl  0.0000  0.5323  0.4677  6 O 2.25-2.31
B  0.9624  0.0376  0.5000  3 O 1.38-1.39
B  0.0376  0.5000  0.9624  3 O 1.38-1.39
B  0.5000  0.9624  0.0376  3 O 1.38-1.39
B  0.5000  0.5000  0.5000  3 O 1.38
O  0.5000  0.3648  0.6352  1 B 1.38
O  0.9023  0.5000  0.0977  1 B 1.38
O  0.0977  0.9023  0.5000  1 B 1.38
O  0.5000  0.0977  0.9023  1 B 1.38
O  0.3636  0.9741  0.1734  1 B 1.39
O  0.1734  0.3636  0.9741  1 B 1.39
O  0.9741  0.1734  0.3636  1 B 1.39
O  0.6364  0.8266  0.0259  1 B 1.39
O  0.0259  0.6364  0.8266  1 B 1.39
O  0.8266  0.0259  0.6364  1 B 1.39
O  0.6352  0.5000  0.3648  1 B 1.38
O  0.3648  0.6352  0.5000  1 B 1.38

=====

Material: NdTm3B4O12
Method: DFT, GGA-PBE
State: optimized geometry

Results
M_tot	0.0	μB/cell
E_form (uncorrected)	-62.1	eV per formula unit
space group	No. 155
total DFT energy (no corrections)	-8.3263	eV per atom

Cell: 6.4717 6.4717 6.4717 Å, 102.58 102.58 102.58°
Closest atoms and distances in Å follow each position.
Fractional positions:
Nd  0.0000  0.0000  0.0000  6 O 2.47
Tm  0.5385  0.4615  0.0000  6 O 2.22-2.24
Tm  0.4615  0.0000  0.5385  6 O 2.22-2.24
Tm  0.0000  0.5385  0.4615  6 O 2.22-2.24
B  0.9607  0.0393  0.5000  3 O 1.38-1.39
B  0.0393  0.5000  0.9607  3 O 1.38-1.39
B  0.5000  0.9607  0.0393  3 O 1.38-1.39
B  0.5000  0.5000  0.5000  3 O 1.38
O  0.5000  0.3632  0.6368  1 B 1.38
O  0.9025  0.5000  0.0975  1 B 1.38
O  0.0975  0.9025  0.5000  1 B 1.38
O  0.5000  0.0975  0.9025  1 B 1.38
O  0.3669  0.9720  0.1810  1 B 1.39
O  0.1810  0.3669  0.9720  1 B 1.39
O  0.9720  0.1810  0.3669  1 B 1.39
O  0.6331  0.8190  0.0280  1 B 1.39
O  0.0280  0.6331  0.8190  1 B 1.39
O  0.8190  0.0280  0.6331  1 B 1.39
O  0.6368  0.5000  0.3632  1 B 1.38
O  0.3632  0.6368  0.5000  1 B 1.38

=====

Material: NdUB2O8
Method: DFT, GGA-PBE
State: optimized geometry

Results
M_tot	1.1	μB/cell
E_form (uncorrected)	-30.2	eV per formula unit
space group	No. 82
total DFT energy (no corrections)	-8.2704	eV per atom

Cell: 4.6869 4.6869 6.5371 Å, 111.01 111.01 90.00°
Closest atoms and distances in Å follow each position.
Fractional positions:
Nd  0.7500  0.2500  0.5000  8 O 2.36-2.53
U  0.0000  0.0000  0.0000  8 O 2.17-2.38
B  0.5000  0.5000  0.0000  4 O 1.50
B  0.2500  0.7500  0.5000  4 O 1.49
O  0.7046  0.8059  0.1224  1 B 1.50
O  0.4178  0.3165  0.1224  1 B 1.50
O  0.5640  0.7168  0.6495  1 B 1.49
O  0.0855  0.9327  0.6495  1 B 1.49
O  0.0673  0.4360  0.3505  1 B 1.49
O  0.2832  0.9145  0.3505  1 B 1.49
O  0.1941  0.5822  0.8776  1 B 1.50
O  0.6835  0.2954  0.8776  1 B 1.50